[1]
## BeFe2Mo (PBE-GGA)

Data for an optimized crystal structure of BeFe2Mo.

Lattice parameters (Å, degrees): 2.5654 2.5654 7.1965 90.00 90.00 99.72
Closest atoms and distances in Å follow each position.
Fractional positions:
Be  0.5000  0.5000  0.7500  8 Fe 2.23-2.47
Mo  0.5000  0.5000  0.2500  4 Mo 2.57, 4 Fe 2.68
Fe  0.0000  0.0000  0.9576  4 Be 2.23-2.47
Fe  0.0000  0.0000  0.5424  4 Be 2.23-2.47

Values from the calculation:
Space-group type = Cmmm
Calculated formation energy = 0.101 eV per formula unit
Mass density = 7.7 g/cm3
Fermi-level density of states = 0.617 states/eV/atom

[2]
## BeFe2Mo (PBE-GGA)

Data for an optimized crystal structure of BeFe2Mo.

Lattice parameters (Å, degrees): 4.4071 4.4071 2.6003 90.00 90.00 108.97
Closest atoms and distances in Å follow each position.
Fractional positions:
Be  0.0000  0.5000  0.5000  8 Fe 2.56, 2 Mo 2.56, 2 Be 2.60
Mo  0.5000  0.0000  0.5000  8 Fe 2.56, 2 Be 2.56, 2 Mo 2.60
Fe  0.0000  0.0000  0.0000  4 Mo 2.56, 4 Be 2.56, 4 Fe 2.56-2.60
Fe  0.5000  0.5000  0.0000  4 Be 2.56, 4 Mo 2.56, 4 Fe 2.56-2.60

Values from the calculation:
Space-group type = Cmmm
Calculated formation energy = 0.750 eV per formula unit
Mass density = 7.5 g/cm3
Fermi-level density of states = 0.978 states/eV/atom

[3]
## BeFeMo2 (PBE-GGA)

Data for an optimized crystal structure of BeFeMo2.

Lattice parameters (Å, degrees): 4.1233 2.7000 4.6297 81.42 90.00 90.00
Closest atoms and distances in Å follow each position.
Fractional positions:
Be  0.0000  0.6377  0.4794  2 Fe 2.45, 7 Mo 2.48-2.64, 2 Be 2.70
Mo  0.0000  0.0189  0.9581  3 Be 2.48-2.58, 4 Fe 2.53-2.71, 4 Mo 2.69-2.70
Mo  0.5000  0.2132  0.2965  3 Fe 2.49-2.59, 4 Be 2.56-2.64, 4 Mo 2.69-2.70
Fe  0.5000  0.6302  0.7660  2 Be 2.45, 7 Mo 2.49-2.71, 2 Fe 2.70

Values from the calculation:
Space-group type = Pm
Calculated formation energy = 0.291 eV per formula unit
Mass density = 8.4 g/cm3
Fermi-level density of states = 0.715 states/eV/atom

[4]
## BeFe2Mo (PBE-GGA)

Data for an optimized crystal structure of BeFe2Mo.

Lattice parameters (Å, degrees): 4.0298 2.5138 4.7440 80.04 90.00 90.00
Closest atoms and distances in Å follow each position.
Fractional positions:
Be  0.5000  0.7500  0.7500  4 Fe 2.43, 2 Mo 2.48, 2 Be 2.51
Mo  0.5000  0.2500  0.2500  2 Be 2.48, 2 Mo 2.51, 4 Fe 2.52
Fe  0.0000  0.9941  0.9842  4 Fe 2.37-2.61, 2 Be 2.43, 2 Mo 2.52
Fe  0.0000  0.5059  0.5158  4 Fe 2.37-2.61, 2 Be 2.43, 2 Mo 2.52

Values from the calculation:
Space-group type = P2/m
Calculated formation energy = 0.359 eV per formula unit
Mass density = 7.6 g/cm3
Fermi-level density of states = 0.835 states/eV/atom

[5]
## BeFeMo2 (PBE-GGA)

Data for an optimized crystal structure of BeFeMo2.

Lattice parameters (Å, degrees): 4.4842 5.9673 2.6773 63.49 89.91 122.15
Closest atoms and distances in Å follow each position.
Fractional positions:
Be  0.5000  0.5000  0.0000  8 Mo 2.61, 2 Fe 2.67, 2 Be 2.68
Mo  0.0000  0.0000  0.0000  4 Be 2.61, 4 Fe 2.61, 4 Mo 2.67-2.68
Mo  0.0000  0.5000  0.5000  4 Fe 2.61, 4 Be 2.61, 4 Mo 2.67-2.68
Fe  0.5000  0.0000  0.5000  8 Mo 2.61, 2 Be 2.67, 2 Fe 2.68

Values from the calculation:
Space-group type = C2/m
Calculated formation energy = 0.624 eV per formula unit
Mass density = 8.3 g/cm3
Fermi-level density of states = 0.892 states/eV/atom

[6]
## BeFe2Mo (PBE-GGA)

Data for an optimized crystal structure of BeFe2Mo.

Lattice parameters (Å, degrees): 4.0515 4.0515 4.0515 60.00 60.00 60.00
Closest atoms and distances in Å follow each position.
Fractional positions:
Be  0.5000  0.5000  0.5000  4 Mo 2.48, 4 Fe 2.48
Mo  0.7500  0.7500  0.7500  4 Fe 2.48, 4 Be 2.48
Fe  0.0000  0.0000  0.0000  4 Fe 2.48, 4 Mo 2.48
Fe  0.2500  0.2500  0.2500  4 Be 2.48, 4 Fe 2.48

Values from the calculation:
Space-group type = F-43m
Calculated formation energy = 0.232 eV per formula unit
Mass density = 7.7 g/cm3
Fermi-level density of states = 0.840 states/eV/atom

[7]
## BeFe2MoN (PBE-GGA)

Data for an optimized crystal structure of BeFe2MoN.

Lattice parameters (Å, degrees): 4.4564 4.3178 4.4564 90.00 90.00 90.00
Closest atoms and distances in Å follow each position.
Fractional positions:
Be  0.0000  0.5000  0.0000  2 Mo 2.16
Mo  0.0000  0.0000  0.0000  2 Be 2.16, 4 Fe 2.23
Fe  0.0000  0.0000  0.5000  2 Mo 2.23
Fe  0.5000  0.0000  0.0000  2 Mo 2.23
N  0.5000  0.5000  0.5000  8 Fe 3.10, 4 Be 3.15

Values from the calculation:
Space-group type = P4/mmm
VASP energy = -5.4847 eV per atom
Mass density = 4.5 g/cm3
Fermi-level density of states = 1.274 states/eV/atom

[8]
## Be2Nb2Fe5Mo (PBE-GGA)

Data for an optimized crystal structure of Be2Nb2Fe5Mo.

Lattice parameters (Å, degrees): 3.0112 8.8399 8.8399 90.00 90.00 90.00
Closest atoms and distances in Å follow each position.
Fractional positions:
Be  0.0000  0.1205  0.6205  6 Fe 2.13-2.16
Be  0.0000  0.8795  0.3795  6 Fe 2.13-2.16
Be  0.0000  0.6205  0.8795  6 Fe 2.13-2.16
Be  0.0000  0.3795  0.1205  6 Fe 2.13-2.16
Nb  0.0000  0.6739  0.1739  3 Be 2.57-2.65, 10 Fe 2.64-2.81
Nb  0.0000  0.3261  0.8261  3 Be 2.57-2.65, 10 Fe 2.64-2.81
Nb  0.0000  0.1739  0.3261  3 Be 2.57-2.65, 10 Fe 2.64-2.81
Nb  0.0000  0.8261  0.6739  3 Be 2.57-2.65, 10 Fe 2.64-2.81
Fe  0.5000  0.2118  0.0693  2 Be 2.16
Fe  0.5000  0.7882  0.9307  2 Be 2.16
Fe  0.5000  0.0693  0.7882  2 Be 2.16
Fe  0.5000  0.7118  0.4307  2 Be 2.16
Fe  0.5000  0.9307  0.2118  2 Be 2.16
Fe  0.5000  0.2882  0.5693  2 Be 2.16
Fe  0.5000  0.5693  0.7118  2 Be 2.16
Fe  0.5000  0.4307  0.2882  2 Be 2.16
Fe  0.5000  0.5000  0.0000  4 Be 2.13
Fe  0.5000  0.0000  0.5000  4 Be 2.13
Mo  0.0000  0.0000  0.0000  8 Fe 2.48
Mo  0.0000  0.5000  0.5000  8 Fe 2.48

Values from the calculation:
Space-group type = P4/mbm
Calculated formation energy = -1.379 eV per formula unit
Mass density = 8.2 g/cm3
Fermi-level density of states = 0.520 states/eV/atom

[9]
## BeFeNi2Mo (PBE-GGA)

Data for an optimized crystal structure of BeFeNi2Mo.

Lattice parameters (Å, degrees): 3.7600 4.2603 3.7600 90.00 90.00 90.00
Closest atoms and distances in Å follow each position.
Fractional positions:
Ni  0.0000  0.0000  0.5000  2 Be 1.88
Ni  0.5000  0.0000  0.0000  2 Be 1.88
Mo  0.0000  0.5000  0.0000  2 Be 2.13
Fe  0.5000  0.5000  0.5000  4 Mo 2.66, 8 Ni 2.84
Be  0.0000  0.0000  0.0000  4 Ni 1.88

Values from the calculation:
Space-group type = P4/mmm
Calculated formation energy = 3.277 eV per formula unit
Mass density = 7.7 g/cm3
Fermi-level density of states = 0.975 states/eV/atom

[10]
## BeFeNiMo (PBE-GGA)

Data for an optimized crystal structure of BeFeNiMo.

Lattice parameters (Å, degrees): 4.0370 4.0370 4.0370 60.00 60.00 60.00
Closest atoms and distances in Å follow each position.
Fractional positions:
Ni  0.0000  0.0000  0.0000  4 Be 2.47, 4 Fe 2.47
Mo  0.5000  0.5000  0.5000  4 Fe 2.47, 4 Be 2.47
Fe  0.7500  0.7500  0.7500  4 Mo 2.47, 4 Ni 2.47
Be  0.2500  0.2500  0.2500  4 Mo 2.47, 4 Ni 2.47

Values from the calculation:
Space-group type = F-43m
Calculated formation energy = 0.017 eV per formula unit
Mass density = 7.8 g/cm3
Fermi-level density of states = 0.425 states/eV/atom